Compound: Ba2MgWO
Source: Alexandria via LeMat-Bulk
Functional: PBE+U
Structure: relaxed

As for the magnetic moment: 4.3 μB per cell. The value obtained for the total energy is -2.648 eV per atom.

Unit cell a=6.417 b=6.417 c=5.176 alpha=90.00 beta=90.00 gamma=90.00
Space group P4/mmm (No. 123)
One atom of each set of equivalent atoms:
Ba  0.000  0.500  0.000
Mg  0.000  0.000  0.000
W  0.000  0.000  0.500
O  0.500  0.500  0.500